Entry 1:
# AcTb2Dy6Er PBE-GGA relaxed
data_AcTb2Dy6Er
_chemical_formula_sum 'Ac2 Tb4 Dy12 Er2'
_space_group_name_H-M_alt 'P 1'
_space_group_IT_number 1
_cell_length_a 9.519
_cell_length_b 8.904
_cell_length_c 8.904
_cell_angle_alpha 117.89
_cell_angle_beta 92.67
_cell_angle_gamma 92.67
loop_
_space_group_symop_operation_xyz
'x,y,z'
loop_
_atom_site_label
_atom_site_fract_x
_atom_site_fract_y
_atom_site_fract_z
Dy1 0.616 0.493 0.712
Dy2 0.317 0.985 0.442
Dy3 0.558 0.750 0.131
Dy4 0.183 0.558 0.015
Dy5 0.942 0.869 0.250
Dy6 0.817 0.442 0.985
Dy7 0.884 0.288 0.507
Dy8 0.116 0.712 0.493
Dy9 0.683 0.015 0.558
Dy10 0.058 0.131 0.750
Dy11 0.384 0.507 0.288
Dy12 0.442 0.250 0.869
Er1 0.250 0.412 0.588
Er2 0.750 0.588 0.412
Tb1 0.048 0.317 0.202
Tb2 0.548 0.202 0.317
Tb3 0.452 0.798 0.683
Tb4 0.952 0.683 0.798
Ac1 0.250 0.972 0.028
Ac2 0.750 0.028 0.972
# * ρ: 8.4 Mg/m³
# * SG: C2/c
# * DOS(E_F): 1.47 states/eV/atom
# * volume: 33.214 A^3/atom
# * formation energy from the elements: 0.13 eV/atom

Entry 2:
# KPaAs2S8 PBE-GGA relaxed
data_KPaAs2S8
_chemical_formula_sum 'K1 Pa1 As2 S8'
_space_group_name_H-M_alt 'P 1'
_space_group_IT_number 1
_cell_length_a 6.312
_cell_length_b 6.312
_cell_length_c 9.896
_cell_angle_alpha 90.00
_cell_angle_beta 90.00
_cell_angle_gamma 120.00
loop_
_space_group_symop_operation_xyz
'x,y,z'
loop_
_atom_site_label
_atom_site_fract_x
_atom_site_fract_y
_atom_site_fract_z
S1 0.661 0.654 0.657
S2 0.008 0.661 0.343
S3 0.992 0.339 0.657
S4 0.667 0.333 0.055
S5 0.654 0.992 0.343
S6 0.346 0.008 0.657
S7 0.333 0.667 0.945
S8 0.339 0.346 0.343
K1 0.000 0.000 0.000
Pa1 0.000 0.000 0.500
As1 0.333 0.667 0.734
As2 0.667 0.333 0.266
# * E_form (uncorrected): -0.527 eV/atom
# * ρ: 3.3 Mg/m³
# * SG: P-3
# * volume: 28.453 A^3/atom

> volume of number 1 (AcTb2Dy6Er)?

33.214 A^3/atom

> Which value of ρ does entry 1 give?

8.4 Mg/m³

> Which of these has the lowest volume?

KPaAs2S8